# 1
Here is CaFe2Te at its PBEsol-relaxed geometry from the Alexandria database. Energies are from SCAN.

a b c (Å): 5.280 5.280 5.280
angles (deg): 140.91 128.87 66.19
Sites, in units of the cell vectors:
Ca1 0.000 0.000 0.000
Fe1 0.528 0.528 0.000
Fe2 0.716 0.216 0.500
Te1 0.279 0.779 0.500

Calculated values
E_form (uncorrected) = 0.2085 eV/atom

***

# 2
Here is CuAg4 at its PBEsol-relaxed geometry from the Alexandria database. Energies are from SCAN.

a b c (Å): 4.861 4.861 4.861
angles (deg): 99.59 99.59 131.83
Sites, in units of the cell vectors:
Cu1 0.000 0.000 0.000
Ag1 0.204 0.398 0.601
Ag2 0.398 0.796 0.194
Ag3 0.602 0.204 0.806
Ag4 0.796 0.602 0.399

Calculated values
Formation energy = 0.38 eV per formula unit

***

# 3
Here is Ta2AlFe at its PBEsol-relaxed geometry from the Alexandria database. Energies are from SCAN.

a b c (Å): 5.218 5.218 5.218
angles (deg): 146.50 129.10 62.32
Sites, in units of the cell vectors:
Ta1 0.000 0.000 0.000
Ta2 0.733 0.233 0.500
Al1 0.284 0.784 0.500
Fe1 0.508 0.508 0.000

Calculated values
Formation energy = -0.62 eV per formula unit

***

# 4
Here is HfBeP2 at its PBEsol-relaxed geometry from the Alexandria database. Energies are from SCAN.

a b c (Å): 6.523 6.523 6.523
angles (deg): 130.26 130.26 72.99
Sites, in units of the cell vectors:
Hf1 0.000 0.000 0.000
Hf2 0.750 0.250 0.500
Be1 0.250 0.750 0.500
Be2 0.500 0.500 0.000
P1 0.170 0.625 0.045
P2 0.375 0.420 0.545
P3 0.580 0.125 0.955
P4 0.875 0.830 0.455

Calculated values
Formation energy = -2.00 eV per formula unit

***

Number 1: magnetization 4.455 μB/f.u., DFT total energy -20.58 eV/atom. Number 2: magnetization 0.000 μB/f.u., DFT total energy -28.06 eV/atom. Number 3: magnetization 1.198 μB/f.u., DFT total energy -39.92 eV/atom. Number 4: magnetization 0.000 μB/f.u., DFT total energy -22.46 eV/atom.